# 1
The following is a DFT calculation (PBE) of a relaxed CdInHg2Se4 crystal.

Output
Its uncorrected formation energy is -348 meV per atom. As for the space group: I-42m.

```
data_CdInHg2Se4
_chemical_formula_sum 'Cd1 In1 Hg2 Se4'
_cell_length_a 6.2831
_cell_length_b 6.2831
_cell_length_c 7.7658
_cell_angle_alpha 113.86
_cell_angle_beta 113.86
_cell_angle_gamma 90.01
_space_group_name_H-M_alt 'P 1'
_space_group_IT_number 1
_space_group_name_Hall 'P 1'
loop_
_atom_site_label
_atom_site_fract_x
_atom_site_fract_y
_atom_site_fract_z
Se1 0.8704 0.3731 0.2435
Hg1 0.2500 0.7500 0.5001
Cd1 0.9999 0.9999 0.9998
Se2 0.6267 0.6267 0.7566
Se3 0.3731 0.8704 0.2435
In1 0.5002 0.5002 0.0004
Hg2 0.7500 0.2500 0.5001
Se4 0.1299 0.1299 0.7566
```

=====

# 2
The following is a DFT calculation (PBE) of a relaxed SmCd2InHg crystal.

Output
As for the space group: Cmcm.

```
data_SmCd2InHg
_chemical_formula_sum 'Sm2 Cd4 In2 Hg2'
_cell_length_a 3.5216
_cell_length_b 9.8310
_cell_length_c 8.0904
_cell_angle_alpha 90.00
_cell_angle_beta 90.00
_cell_angle_gamma 100.32
_space_group_name_H-M_alt 'P 1'
_space_group_IT_number 1
_space_group_name_Hall 'P 1'
loop_
_atom_site_label
_atom_site_fract_x
_atom_site_fract_y
_atom_site_fract_z
Cd1 0.1573 0.3146 0.5672
Cd2 0.8427 0.6854 0.0672
Cd3 0.8427 0.6854 0.4328
In1 0.0000 0.0000 0.0000
Hg1 0.7606 0.5213 0.7500
Cd4 0.1573 0.3146 0.9328
Sm1 0.4029 0.8059 0.7500
In2 0.0000 0.0000 0.5000
Sm2 0.5970 0.1941 0.2500
Hg2 0.2394 0.4787 0.2500
```

=====

# 3
The following is a DFT calculation (PBE) of a relaxed Sm4Cd2InHg crystal.

Output
As for the space group: R-3m.

```
data_Sm4Cd2InHg
_chemical_formula_sum 'Sm4 Cd2 In1 Hg1'
_cell_length_a 5.3944
_cell_length_b 5.3944
_cell_length_c 9.3430
_cell_angle_alpha 73.22
_cell_angle_beta 73.22
_cell_angle_gamma 60.00
_space_group_name_H-M_alt 'P 1'
_space_group_IT_number 1
_space_group_name_Hall 'P 1'
loop_
_atom_site_label
_atom_site_fract_x
_atom_site_fract_y
_atom_site_fract_z
Hg1 0.0000 0.0000 0.0000
Cd1 0.7514 0.7514 0.7458
Sm1 0.3736 0.3736 0.8791
In1 0.5000 0.5000 0.5000
Sm2 0.1236 0.1236 0.6291
Sm3 0.8764 0.8764 0.3709
Sm4 0.6264 0.6264 0.1209
Cd2 0.2486 0.2486 0.2542
```

=====

Number 1: magnetic moment 0.00 Bohr magnetons per cell, N(E_F) 0.356 states/eV per atom, E_tot -2.62 eV per atom. Number 2: magnetic moment 0.00 Bohr magnetons per cell, N(E_F) 0.426 states/eV per atom, E_tot -2.09 eV per atom. Number 3: magnetic moment 1.33 Bohr magnetons per cell, N(E_F) 1.238 states/eV per atom, E_tot -3.37 eV per atom.